(1)
Density functional theory data (PBE) for CoPt2 after structural relaxation.

It has space group Pa-3 (No. 205), with a = 5.8474 Å, b = 5.8474 Å, c = 5.8474 Å, α = 90.00°, β = 90.00° and γ = 90.00°. The distinct sites, in fractional coordinates, are Co at (0.0000, 0.0000, 0.0000) and Pt at (0.1280, 0.6280, 0.8720).

The spin magnetization comes out at 2.94 μB/f.u. As for the energy relative to the elements: 0.53 eV/atom. As for the energy: -0.216 Ha/atom. As for the density of states at the Fermi level: 4.381 states/eV/f.u.

---

(2)
Density functional theory data (PBE) for CoPt after structural relaxation.

It has space group P4_2/mnm (No. 136), with a = 4.9232 Å, b = 4.9232 Å, c = 4.9975 Å, α = 90.00°, β = 90.00° and γ = 90.00°. The distinct sites, in fractional coordinates, are Co at (0.1802, 0.1802, 0.0000) and Pt at (0.1902, 0.1902, 0.5000).

The spin magnetization comes out at 2.22 μB/f.u. As for the energy relative to the elements: 0.42 eV/atom. As for the energy: -0.226 Ha/atom. As for the density of states at the Fermi level: 3.558 states/eV/f.u.